[1]
Ti6Ge5 | PBE | relaxed

The structure in extended XYZ format:
```
22
Lattice="-3.9827 8.4885 2.6156 3.9827 -8.4885 2.6156 3.9827 8.4885 -2.6156" Properties=species:S:1:pos:R:3 pbc="T T T"
Ti 3.9827 5.2427 -1.3078
Ti 1.9303 1.0727 0.0000
Ti 4.8755 2.3915 0.0000
Ti 0.8929 6.0969 0.0000
Ti 1.9303 -1.0727 2.6156
Ti 0.0000 3.2458 1.3078
Ti 3.9827 5.2427 1.3078
Ti 2.0524 9.5612 0.0000
Ti 3.0898 2.3915 2.6156
Ti -0.8929 6.0969 2.6156
Ti 2.0524 7.4158 2.6156
Ti 0.0000 3.2458 3.9234
Ge 7.1866 1.1503 0.0000
Ge 2.3886 3.5816 0.0000
Ge 3.9827 0.0000 1.3078
Ge 2.3886 -3.5816 2.6156
Ge 3.2039 7.3382 0.0000
Ge 0.7788 1.1503 2.6156
Ge 1.5941 12.0701 0.0000
Ge 0.0000 8.4885 1.3078
Ge 1.5941 4.9069 2.6156
Ge -3.2039 7.3382 2.6156
```

Calculated values
ΔE to the lowest computed polymorph = 0.0000 eV per atom

=====

[2]
BaPt4Cl | PBE | relaxed

The structure in extended XYZ format:
```
6
Lattice="0.0000 3.9327 3.9327 3.9327 0.0000 3.9327 3.9327 3.9327 0.0000" Properties=species:S:1:pos:R:3 pbc="T T T"
Ba 0.0000 0.0000 0.0000
Pt 2.9526 2.9526 2.9526
Pt 4.9128 4.9128 2.9526
Pt 4.9128 2.9526 4.9128
Pt 2.9526 4.9128 4.9128
Cl 5.8990 5.8990 5.8990
```

Calculated values
VASP energy = -4.930 eV per atom

=====

[3]
YP4Rh4 | PBE | relaxed

The structure in extended XYZ format:
```
18
Lattice="6.1526 0.0000 0.0000 0.0000 6.1526 0.0000 0.0000 0.0000 7.4566" Properties=species:S:1:pos:R:3 pbc="T T T"
Y 1.5382 4.6145 1.8641
Y 4.6145 1.5382 5.5924
P 0.1325 1.5382 0.4098
P 1.5382 0.1325 4.1380
P 1.5382 2.9438 4.1380
P 2.9438 1.5382 0.4098
P 3.2088 4.6145 7.0468
P 4.6145 3.2088 3.3185
P 4.6145 6.0201 3.3185
P 6.0201 4.6145 7.0468
Rh 0.1705 1.5382 2.7250
Rh 1.5382 0.1705 6.4533
Rh 1.5382 2.9058 6.4533
Rh 2.9058 1.5382 2.7250
Rh 3.2468 4.6145 4.7315
Rh 4.6145 3.2468 1.0032
Rh 4.6145 5.9822 1.0032
Rh 5.9822 4.6145 4.7315
```

Calculated values
VASP energy = -7.102 eV per atom

=====

[4]
Nd2ErZn | PBE | relaxed

The structure in extended XYZ format:
```
8
Lattice="-2.5660 2.5660 8.7277 2.5660 -2.5660 8.7277 2.5660 2.5660 -8.7277" Properties=species:S:1:pos:R:3 pbc="T T T"
Nd 2.5660 0.0000 0.0000
Nd 0.0000 0.0000 2.5280
Nd 0.0000 2.5660 0.0000
Nd 0.0000 0.0000 14.9275
Er 0.0000 0.0000 6.1054
Er 0.0000 0.0000 11.3501
Zn 2.5660 0.0000 4.3639
Zn 0.0000 2.5660 4.3639
```

Calculated values
ΔE to the lowest computed polymorph = 0.0000 eV per atom

=====

[5]
CuSi2Pt | PBE | relaxed

The structure in extended XYZ format:
```
4
Lattice="1.4579 0.8417 7.6855 -1.4579 0.8417 7.6855 0.0000 -1.6835 7.6855" Properties=species:S:1:pos:R:3 pbc="T T T"
Cu 0.0000 0.0000 0.0000
Si 0.0000 0.0000 5.8004
Si 0.0000 0.0000 17.2562
Pt 0.0000 0.0000 11.5283
```

Calculated values
ΔE to the lowest computed polymorph = 0.0972 eV per atom

=====

[6]
Tb6CeHo | PBE | relaxed

The structure in extended XYZ format:
```
8
Lattice="6.4869 0.0000 0.0000 -0.0878 6.7663 0.0000 -1.4096 -3.3607 5.8361" Properties=species:S:1:pos:R:3 pbc="T T T"
Tb 0.7775 1.1173 2.7978
Tb 1.5366 6.4199 0.0089
Tb 0.9141 4.5200 3.0460
Tb 4.0754 -1.1143 2.7901
Tb 3.4529 -3.0142 5.8273
Tb 4.2120 2.2884 3.0383
Ce -0.0439 3.3831 0.0000
Ho 3.1996 3.3831 0.0000
```

Calculated values
ΔE to the lowest computed polymorph = 0.1743 eV per atom

=====

[7]
Si2SnOs2 | PBE | relaxed

The structure in extended XYZ format:
```
10
Lattice="7.3873 0.0000 0.0000 0.0000 7.3873 0.0000 0.0000 0.0000 2.8499" Properties=species:S:1:pos:R:3 pbc="T T T"
Si 0.9926 2.7011 0.0000
Si 2.7011 6.3947 0.0000
Si 4.6862 0.9926 0.0000
Si 6.3947 4.6862 0.0000
Sn 0.0000 0.0000 0.0000
Sn 3.6936 3.6936 0.0000
Os 1.1171 4.8107 1.4249
Os 2.5765 1.1171 1.4249
Os 4.8107 6.2702 1.4249
Os 6.2702 2.5765 1.4249
```

Calculated values
VASP energy = -7.292 eV per atom

=====

[8]
Li2Pm2Cu15 | PBE | relaxed

The structure in extended XYZ format:
```
19
Lattice="4.3139 2.4906 4.2250 -4.3139 2.4906 4.2250 0.0000 -4.9812 4.2250" Properties=species:S:1:pos:R:3 pbc="T T T"
Li 0.0000 0.0000 1.1809
Li 0.0000 0.0000 11.4941
Pm 0.0000 0.0000 4.3757
Pm 0.0000 0.0000 8.2993
Cu -4.3139 0.0000 6.3375
Cu -1.2955 -2.7373 4.2250
Cu -2.1569 1.2453 2.1125
Cu -3.0183 0.2467 4.2250
Cu -2.1526 -1.2428 6.2182
Cu 1.2955 -2.7373 4.2250
Cu -1.7228 2.4906 4.2250
Cu 0.0000 -2.4856 6.4569
Cu -2.1526 1.2428 6.4569
Cu 2.1569 1.2453 2.1125
Cu 2.1526 -1.2428 6.2182
Cu 0.0000 2.4856 6.2182
Cu 3.0183 0.2467 4.2250
Cu 1.7228 2.4906 4.2250
Cu 2.1526 1.2428 6.4569
```

Calculated values
VASP energy = -4.067 eV per atom

=====

[9]
Na2CdRhF8 | PBE | relaxed

The structure in extended XYZ format:
```
12
Lattice="4.9576 0.0000 0.0000 0.0000 7.0205 0.0000 -0.1960 0.0000 5.1795" Properties=species:S:1:pos:R:3 pbc="T T T"
Na 0.0000 1.7366 0.0000
Na 0.0000 5.2839 0.0000
Cd 2.3808 0.0000 2.5898
Rh 2.3808 3.5102 2.5898
F 0.9681 0.0000 1.0458
F 1.1024 3.5102 1.1435
F 1.4011 2.0549 3.4792
F 1.4011 4.9655 3.4792
F 3.3605 2.0549 1.7003
F 3.3605 4.9655 1.7003
F 3.6592 3.5102 4.0360
F 3.7935 0.0000 4.1337
```

Calculated values
VASP energy = -4.283 eV per atom

=====

[10]
CaSiSe | PBE | relaxed

The structure in extended XYZ format:
```
3
Lattice="4.6160 0.0000 0.0000 -2.3080 3.9976 0.0000 0.0000 0.0000 3.7008" Properties=species:S:1:pos:R:3 pbc="T T T"
Ca 0.0000 0.0000 0.0000
Si 0.0000 2.6650 1.8504
Se 2.3080 1.3325 1.8504
```

Calculated values
ΔE to the lowest computed polymorph = 0.1029 eV per atom

=====

[11]
Sb4RuAu | PBE | relaxed

The structure in extended XYZ format:
```
6
Lattice="0.0000 4.2700 4.2700 4.2700 0.0000 4.2700 4.2700 4.2700 0.0000" Properties=species:S:1:pos:R:3 pbc="T T T"
Sb 1.0664 1.0664 1.0664
Sb 3.2036 3.2036 1.0664
Sb 3.2036 1.0664 3.2036
Sb 1.0664 3.2036 3.2036
Ru 4.2700 4.2700 4.2700
Au 6.4050 6.4050 6.4050
```

Calculated values
VASP energy = -3.898 eV per atom

=====

[12]
SrNbCl2 | PBE | relaxed

The structure in extended XYZ format:
```
8
Lattice="-2.5964 2.5964 8.2449 2.5964 -2.5964 8.2449 2.5964 2.5964 -8.2449" Properties=species:S:1:pos:R:3 pbc="T T T"
Sr 0.0000 0.0000 0.0000
Sr 0.0000 2.5964 4.1225
Nb 2.5964 0.0000 4.1225
Nb 0.0000 0.0000 8.2449
Cl 1.2982 -0.9559 6.1837
Cl 1.6405 1.2982 2.0612
Cl 1.2982 3.5523 -2.0612
Cl 0.9559 1.2982 10.3062
```

Calculated values
ΔE to the lowest computed polymorph = 0.0742 eV per atom